1.
# BePt4

BePt4 at its PBEsol-relaxed geometry (meta-GGA SCAN, Alexandria via LeMat-Bulk).

Geometry as CIF:
```
data_BePt4
_chemical_formula_sum 'Be2 Pt8'
_cell_length_a 5.3347
_cell_length_b 5.3347
_cell_length_c 5.3347
_cell_angle_alpha 90.00
_cell_angle_beta 90.00
_cell_angle_gamma 90.00
_space_group_name_H-M_alt 'I m -3 m'
_space_group_IT_number 229
_space_group_name_Hall '-I 4 2 3'
loop_
_atom_site_label
_atom_site_type_symbol
_atom_site_fract_x
_atom_site_fract_y
_atom_site_fract_z
Be1 Be 0.0000 0.0000 0.0000
Pt1 Pt 0.2500 0.2500 0.2500
```

Computed properties:
The formation energy is -0.105 eV/atom.

---

2.
# Be3Pt2

Be3Pt2 at its PBEsol-relaxed geometry (meta-GGA SCAN, Alexandria via LeMat-Bulk).

Geometry as CIF:
```
data_Be3Pt2
_chemical_formula_sum 'Be3 Pt2'
_cell_length_a 3.8723
_cell_length_b 3.8723
_cell_length_c 4.7241
_cell_angle_alpha 90.00
_cell_angle_beta 90.00
_cell_angle_gamma 120.00
_space_group_name_H-M_alt 'P -3 m 1'
_space_group_IT_number 164
_space_group_name_Hall '-P 3 2"'
loop_
_atom_site_label
_atom_site_type_symbol
_atom_site_fract_x
_atom_site_fract_y
_atom_site_fract_z
Be1 Be 0.0000 0.0000 0.0000
Be2 Be 0.3333 0.6667 0.3550
Pt1 Pt 0.3333 0.6667 0.8305
```

Computed properties:
The formation energy is -0.625 eV/atom.

---

3.
# Be5Pt3

Be5Pt3 at its PBEsol-relaxed geometry (meta-GGA SCAN, Alexandria via LeMat-Bulk).

Geometry as CIF:
```
data_Be5Pt3
_chemical_formula_sum 'Be10 Pt6'
_cell_length_a 6.6546
_cell_length_b 6.8771
_cell_length_c 3.7473
_cell_angle_alpha 90.00
_cell_angle_beta 90.00
_cell_angle_gamma 90.00
_space_group_name_H-M_alt 'C m m m'
_space_group_IT_number 65
_space_group_name_Hall '-C 2 2'
loop_
_atom_site_label
_atom_site_type_symbol
_atom_site_fract_x
_atom_site_fract_y
_atom_site_fract_z
Be1 Be 0.0000 0.0000 0.0000
Be2 Be 0.2143 0.5000 0.5000
Be3 Be 0.2500 0.2500 0.0000
Pt1 Pt 0.0000 0.2033 0.5000
Pt2 Pt 0.0000 0.5000 0.0000
```

Computed properties:
The formation energy is -0.804 eV/atom.

---

4.
# RbBe2TcPt

RbBe2TcPt at its PBEsol-relaxed geometry (meta-GGA SCAN, Alexandria via LeMat-Bulk).

Geometry as CIF:
```
data_RbBe2TcPt
_chemical_formula_sum 'Rb1 Be2 Tc1 Pt1'
_cell_length_a 4.5872
_cell_length_b 4.5872
_cell_length_c 4.7538
_cell_angle_alpha 90.00
_cell_angle_beta 90.00
_cell_angle_gamma 90.00
_space_group_name_H-M_alt 'P 4/m m m'
_space_group_IT_number 123
_space_group_name_Hall '-P 4 2'
loop_
_atom_site_label
_atom_site_type_symbol
_atom_site_fract_x
_atom_site_fract_y
_atom_site_fract_z
Rb1 Rb 0.0000 0.0000 0.0000
Be1 Be 0.0000 0.5000 0.5000
Tc1 Tc 0.5000 0.5000 0.5000
Pt1 Pt 0.5000 0.5000 0.0000
```

Computed properties:
The formation energy is 0.714 eV/atom.

---

5.
# Be4RePt

Be4RePt at its PBEsol-relaxed geometry (meta-GGA SCAN, Alexandria via LeMat-Bulk).

Geometry as CIF:
```
data_Be4RePt
_chemical_formula_sum 'Be16 Re4 Pt4'
_cell_length_a 6.1983
_cell_length_b 6.1983
_cell_length_c 6.1983
_cell_angle_alpha 90.00
_cell_angle_beta 90.00
_cell_angle_gamma 90.00
_space_group_name_H-M_alt 'F -4 3 m'
_space_group_IT_number 216
_space_group_name_Hall 'F -4 2 3'
loop_
_atom_site_label
_atom_site_type_symbol
_atom_site_fract_x
_atom_site_fract_y
_atom_site_fract_z
Be1 Be 0.1223 0.1223 0.1223
Re1 Re 0.2500 0.2500 0.7500
Pt1 Pt 0.0000 0.0000 0.5000
```

Computed properties:
The formation energy is -0.304 eV/atom.

---

6.
# BeRe2Pt

BeRe2Pt at its PBEsol-relaxed geometry (meta-GGA SCAN, Alexandria via LeMat-Bulk).

Geometry as CIF:
```
data_BeRe2Pt
_chemical_formula_sum 'Be1 Re2 Pt1'
_cell_length_a 3.5934
_cell_length_b 3.5934
_cell_length_c 4.2108
_cell_angle_alpha 90.00
_cell_angle_beta 90.00
_cell_angle_gamma 90.00
_space_group_name_H-M_alt 'P 4/m m m'
_space_group_IT_number 123
_space_group_name_Hall '-P 4 2'
loop_
_atom_site_label
_atom_site_type_symbol
_atom_site_fract_x
_atom_site_fract_y
_atom_site_fract_z
Be1 Be 0.0000 0.0000 0.0000
Re1 Re 0.0000 0.5000 0.5000
Pt1 Pt 0.5000 0.5000 0.0000
```

Computed properties:
The formation energy is 0.000 eV/atom.

---

7.
# BeRe2Pt

BeRe2Pt at its PBEsol-relaxed geometry (meta-GGA SCAN, Alexandria via LeMat-Bulk).

Geometry as CIF:
```
data_BeRe2Pt
_chemical_formula_sum 'Be2 Re4 Pt2'
_cell_length_a 2.8153
_cell_length_b 4.2814
_cell_length_c 8.7202
_cell_angle_alpha 90.00
_cell_angle_beta 90.00
_cell_angle_gamma 90.00
_space_group_name_H-M_alt 'I m m m'
_space_group_IT_number 71
_space_group_name_Hall '-I 2 2'
loop_
_atom_site_label
_atom_site_type_symbol
_atom_site_fract_x
_atom_site_fract_y
_atom_site_fract_z
Be1 Be 0.0000 0.0000 0.0000
Re1 Re 0.0000 0.5000 0.2793
Pt1 Pt 0.0000 0.0000 0.5000
```

Computed properties:
The formation energy is -0.069 eV/atom.

---

8.
# Be2RePt

Be2RePt at its PBEsol-relaxed geometry (meta-GGA SCAN, Alexandria via LeMat-Bulk).

Geometry as CIF:
```
data_Be2RePt
_chemical_formula_sum 'Be2 Re1 Pt1'
_cell_length_a 2.7490
_cell_length_b 2.7490
_cell_length_c 5.9278
_cell_angle_alpha 90.00
_cell_angle_beta 90.00
_cell_angle_gamma 90.00
_space_group_name_H-M_alt 'P 4 m m'
_space_group_IT_number 99
loop_
_space_group_symop_operation_xyz
'x,y,z'
'-y,x,z'
'-x,-y,z'
'y,-x,z'
'-x,y,z'
'y,x,z'
'x,-y,z'
'-y,-x,z'
loop_
_atom_site_label
_atom_site_type_symbol
_atom_site_fract_x
_atom_site_fract_y
_atom_site_fract_z
Be1 Be 0.0000 0.0000 0.0000
Be2 Be 0.5000 0.5000 0.1785
Re1 Re 0.5000 0.5000 0.7553
Pt1 Pt 0.0000 0.0000 0.4145
```

Computed properties:
The formation energy is -0.305 eV/atom.

---

Summary of volume in Å³/atom
15.18 12.27 10.72 20.01 9.92 13.59 13.14 11.20
(order as listed above)
Summary of Fermi-level density of states in states/eV per cell
9.72 1.91 2.67 2.90 15.81 1.93 4.48 2.84
(order as listed above)
Summary of total energy in eV/atom
-57.13 -31.31 -29.85 -26.23 -26.75 -54.19 -54.25 -37.80
(order as listed above)